Version i
Below is a relaxed GaB3W crystal, with properties calculated at the PBE level.

Output
Its space group is Pm-3m (221).

a = 4.252 Å, b = 4.252 Å, c = 4.252 Å
α = 90.00°, β = 90.00°, γ = 90.00°
Positions (direct):
B 0.500 0.000 0.000
B 0.000 0.000 0.500
B 0.000 0.500 0.000
W 0.000 0.000 0.000
Ga 0.500 0.500 0.500

Version ii
Below is a relaxed GaB3W crystal, with properties calculated at the PBE level.

Output
Its space group is Pm-3m (221).

a = 3.924 Å, b = 3.924 Å, c = 3.924 Å
α = 90.00°, β = 90.00°, γ = 90.00°
Positions (direct):
B 0.000 0.500 0.000
B 0.000 0.000 0.500
B 0.500 0.000 0.000
Ga 0.000 0.000 0.000
W 0.500 0.500 0.500

Which one sits at the bottom of the stability order? version ii does.

Version i
Below is a relaxed Ga3BW crystal, with properties calculated at the PBE level.

Output
Its space group is Pm-3m (221).

a = 4.916 Å, b = 4.916 Å, c = 4.916 Å
α = 90.00°, β = 90.00°, γ = 90.00°
Positions (direct):
B 0.500 0.500 0.500
W 0.000 0.000 0.000
Ga 0.000 0.000 0.500
Ga 0.000 0.500 0.000
Ga 0.500 0.000 0.000

Version ii
Below is a relaxed Ga3BW crystal, with properties calculated at the PBE level.

Output
Its space group is Pm-3m (221).

a = 4.269 Å, b = 4.269 Å, c = 4.269 Å
α = 90.00°, β = 90.00°, γ = 90.00°
Positions (direct):
Ga 0.000 0.000 0.500
Ga 0.500 0.000 0.000
Ga 0.000 0.500 0.000
B 0.000 0.000 0.000
W 0.500 0.500 0.500

Which one sits at the bottom of the stability order? version i does.

Version i
Below is a relaxed Y2GaB2 crystal, with properties calculated at the PBE level.

Output
Its space group is I4/mmm (139).

a = 3.149 Å, b = 3.149 Å, c = 8.996 Å
α = 79.92°, β = 79.92°, γ = 90.00°
Positions (direct):
Y 0.374 0.374 0.251
Y 0.626 0.626 0.749
B 0.250 0.750 0.500
B 0.750 0.250 0.500
Ga 0.000 0.000 0.000

Version ii
Below is a relaxed Y2GaB2 crystal, with properties calculated at the PBE level.

Output
Its space group is P4/mbm (127).

a = 7.530 Å, b = 7.530 Å, c = 3.528 Å
α = 90.00°, β = 90.00°, γ = 90.00°
Positions (direct):
Y 0.176 0.324 0.000
Y 0.324 0.824 0.000
Y 0.824 0.676 0.000
Y 0.676 0.176 0.000
B 0.925 0.425 0.500
B 0.075 0.575 0.500
B 0.425 0.075 0.500
B 0.575 0.925 0.500
Ga 0.500 0.500 0.000
Ga 0.000 0.000 0.000

Which one sits at the bottom of the stability order? version i does.

Version i
Below is a relaxed YGaB3 crystal, with properties calculated at the PBE level.

Output
Its space group is Pm-3m (221).

a = 4.140 Å, b = 4.140 Å, c = 4.140 Å
α = 90.00°, β = 90.00°, γ = 90.00°
Positions (direct):
Ga 0.000 0.000 0.000
B 0.000 0.000 0.500
B 0.500 0.000 0.000
B 0.000 0.500 0.000
Y 0.500 0.500 0.500

Version ii
Below is a relaxed YGaB3 crystal, with properties calculated at the PBE level.

Output
Its space group is Pm-3m (221).

a = 4.773 Å, b = 4.773 Å, c = 4.773 Å
α = 90.00°, β = 90.00°, γ = 90.00°
Positions (direct):
B 0.000 0.000 0.500
B 0.000 0.500 0.000
B 0.500 0.000 0.000
Y 0.000 0.000 0.000
Ga 0.500 0.500 0.500

Which one sits at the bottom of the stability order? version ii does.

Version i
Below is a relaxed ZnGa2B crystal, with properties calculated at the PBE level.

Output
Its space group is I-42d (122).

a = 5.643 Å, b = 5.643 Å, c = 6.274 Å
α = 63.28°, β = 63.28°, γ = 90.00°
Positions (direct):
B 0.250 0.750 0.500
B 0.500 0.500 0.000
Ga 0.525 0.125 0.250
Ga 0.375 0.475 0.750
Ga 0.875 0.775 0.750
Ga 0.225 0.625 0.250
Zn 0.750 0.250 0.500
Zn 0.000 0.000 0.000

Version ii
Below is a relaxed ZnGa2B crystal, with properties calculated at the PBE level.

Output
Its space group is Fm-3m (225).

a = 4.390 Å, b = 4.390 Å, c = 4.390 Å
α = 60.00°, β = 60.00°, γ = 60.00°
Positions (direct):
B 0.000 0.000 0.000
Zn 0.500 0.500 0.500
Ga 0.750 0.750 0.750
Ga 0.250 0.250 0.250

Which one sits at the bottom of the stability order? version ii does.

Version i
Below is a relaxed GdBIr crystal, with properties calculated at the PBE level.

Output
Its space group is P-6m2 (187).

a = 4.323 Å, b = 3.697 Å, c = 3.697 Å
α = 120.00°, β = 90.00°, γ = 90.00°
Positions (direct):
Gd 0.667 0.333 0.667
B 0.167 0.667 0.333
Ir 0.167 0.000 0.000

Version ii
Below is a relaxed GdBIr crystal, with properties calculated at the PBE level.

Output
Its space group is I4mm (107).

a = 2.948 Å, b = 2.948 Å, c = 5.659 Å
α = 105.10°, β = 105.10°, γ = 90.00°
Positions (direct):
B 0.703 0.703 0.406
Ir 0.287 0.287 0.574
Gd 0.010 0.010 0.020

Which one sits at the bottom of the stability order? version ii does.

Version i
Below is a relaxed GdBN2 crystal, with properties calculated at the PBE level.

Output
Its space group is R-3m (166).

a = 3.703 Å, b = 3.703 Å, c = 5.456 Å
α = 70.16°, β = 70.16°, γ = 60.00°
Positions (direct):
Gd 0.500 0.500 0.500
B 0.000 0.000 0.000
N 0.911 0.911 0.267
N 0.089 0.089 0.733

Version ii
Below is a relaxed GdBN2 crystal, with properties calculated at the PBE level.

Output
Its space group is R-3c (167).

a = 7.256 Å, b = 7.256 Å, c = 7.256 Å
α = 110.74°, β = 110.74°, γ = 110.74°
Positions (direct):
N 0.625 0.750 0.875
N 0.995 0.750 0.505
N 0.495 0.005 0.250
N 0.875 0.625 0.750
N 0.250 0.125 0.375
N 0.750 0.875 0.625
N 0.375 0.250 0.125
N 0.005 0.250 0.495
N 0.125 0.375 0.250
N 0.750 0.505 0.995
N 0.505 0.995 0.750
N 0.250 0.495 0.005
Gd 0.750 0.297 0.203
Gd 0.297 0.203 0.750
Gd 0.703 0.797 0.250
Gd 0.797 0.250 0.703
Gd 0.203 0.750 0.297
Gd 0.250 0.703 0.797
B 0.129 0.250 0.371
B 0.371 0.129 0.250
B 0.629 0.871 0.750
B 0.750 0.629 0.871
B 0.871 0.750 0.629
B 0.250 0.371 0.129

Which one sits at the bottom of the stability order? version i does.

Version i
Below is a relaxed GdBOs crystal, with properties calculated at the PBE level.

Output
Its space group is I4mm (107).

a = 3.009 Å, b = 3.009 Å, c = 5.509 Å
α = 105.85°, β = 105.85°, γ = 90.00°
Positions (direct):
Gd 0.004 0.004 0.008
Os 0.282 0.282 0.565
B 0.714 0.714 0.427

Version ii
Below is a relaxed GdBOs crystal, with properties calculated at the PBE level.

Output
Its space group is P-6m2 (187).

a = 4.328 Å, b = 3.679 Å, c = 3.679 Å
α = 120.00°, β = 90.00°, γ = 90.00°
Positions (direct):
Gd 0.667 0.333 0.667
Os 0.167 0.000 0.000
B 0.167 0.667 0.333

Which one sits at the bottom of the stability order? version i does.